(1)
DFT (PBE-GGA) results for crystalline NiSb2W at its relaxed geometry.

As for the polymorph energy (0 for the lowest one): 241 meV/atom. The calculation puts the calculated density at 9.3 g/cm3. The calculation puts the energy relative to the elements, uncorrected at 0.43 eV per atom.

It has space group R3m (No. 160, hexagonal axes), with a = 3.0808 Å, b = 3.0808 Å, c = 31.5441 Å, α = 90.00°, β = 90.00° and γ = 120.00°. The distinct sites, in fractional coordinates, are Ni at (0.0000, 0.0000, 0.0000), Sb at (0.0000, 0.0000, 0.5336), Sb at (0.0000, 0.0000, 0.7312) and W at (0.0000, 0.0000, 0.2727).

***

(2)
DFT (PBE-GGA) results for crystalline Ni6SbW at its relaxed geometry.

The calculation puts the calculated density at 10.9 g/cm3. The calculation puts the energy relative to the elements, uncorrected at -0.06 eV per atom.

It has space group Cmmm (No. 65), with a = 7.3855 Å, b = 10.4068 Å, c = 10.4702 Å, α = 90.00°, β = 90.00° and γ = 90.00°. The distinct sites, in fractional coordinates, are Ni at (0.0000, 0.0000, 0.0000), Ni at (0.0000, 0.0000, 0.5000), Ni at (0.0000, 0.2455, 0.2392), Ni at (0.0000, 0.5000, 0.0000), Ni at (0.0000, 0.5000, 0.5000), Ni at (0.2408, 0.1235, 0.3681), Ni at (0.2444, 0.1270, 0.1196), Sb at (0.0000, 0.2508, 0.5000), Sb at (0.0000, 0.5000, 0.2487), W at (0.0000, 0.0000, 0.2522) and W at (0.0000, 0.2461, 0.0000).

***

(3)
DFT (PBE-GGA) results for crystalline NiSb2W at its relaxed geometry.

As for the polymorph energy (0 for the lowest one): 0 meV/atom. The calculation puts the calculated density at 10.9 g/cm3. The calculation puts the energy relative to the elements, uncorrected at 0.19 eV per atom.

It has space group Amm2 (No. 38), with a = 3.8728 Å, b = 3.6442 Å, c = 10.4984 Å, α = 90.00°, β = 90.00° and γ = 90.00°. The distinct sites, in fractional coordinates, are Ni at (0.0000, 0.0000, 0.0000), Sb at (0.0000, 0.0000, 0.7542), Sb at (0.5000, 0.0000, 0.4530) and W at (0.5000, 0.0000, 0.1625).

***

> The highest energy relative to the elements, uncorrected belongs to which entry?

number 1